1) {"formula": "Mn3CdO", "functional": "PBE with a Hubbard U", "state": "optimized geometry", "lattice": [[5.174, 0.000, 0.000], [0.000, 5.174, 0.000], [0.000, 0.000, 5.174]], "species": ["Mn", "Mn", "Mn", "Cd", "O"], "fractional_positions": [[0.000, 0.000, 0.500], [0.000, 0.500, 0.000], [0.500, 0.000, 0.000], [0.000, 0.000, 0.000], [0.500, 0.500, 0.500]], "space_group": "Pm-3m, No. 221", "n_ef_per_ev_atom": 0.969}

2) {"formula": "Mn3CdO", "functional": "PBE with a Hubbard U", "state": "optimized geometry", "lattice": [[4.375, 0.000, 0.000], [0.000, 4.375, 0.000], [0.000, 0.000, 4.375]], "species": ["Mn", "Mn", "Mn", "Cd", "O"], "fractional_positions": [[0.000, 0.000, 0.500], [0.000, 0.500, 0.000], [0.500, 0.000, 0.000], [0.500, 0.500, 0.500], [0.000, 0.000, 0.000]], "space_group": "Pm-3m, No. 221", "n_ef_per_ev_atom": 0.261}

2) is preferred energetically. Next in line: 1459 meV per atom higher.